MgSb2TeOs after structural relaxation. Source: Alexandria via LeMat-Bulk, functional PBE.

Calculated values
Its space group is No. 123. Its polymorph energy (0 for the lowest one) is 0 meV/atom. The density of states at the Fermi level is 0.433 states/eV per atom.

Cell lengths 4.998, 4.998, 5.984 Å; angles 90.00, 90.00, 90.00 degrees
Fractional positions:
Sb  0.000  0.500  0.000
Sb  0.500  0.000  0.000
Mg  0.500  0.500  0.500
Te  0.000  0.000  0.500
Os  0.000  0.000  0.000

AlCr2As after structural relaxation. Source: Alexandria via LeMat-Bulk, functional PBE.

Calculated values
Its space group is No. 8. For the formation energy, the calculation gives 0.0680 eV per atom. Its polymorph energy (0 for the lowest one) is 123 meV/atom. The density of states at the Fermi level is 0.689 states/eV per atom.

Cell lengths 4.649, 4.649, 4.348 Å; angles 70.69, 70.69, 37.79 degrees
Fractional positions:
Cr  0.011  0.011  0.019
Cr  0.734  0.734  0.735
As  0.264  0.264  0.214
Al  0.492  0.492  0.532

For the records above, the corresponding total magnetization values read 0.000, 0.011 μB/atom.
For the records above, the corresponding E values read -4.34, -6.84 eV per atom.